This record from the Alexandria database describes a relaxed Pt2RhCl crystal. The functional is PBE-GGA.

Output
offset from the most stable computed form: 179 meV per atom
total moment: 0.911 μB per formula unit
uncorrected formation energy: 1.5 eV per formula unit
space-group type: No. 123
Fermi-level density of states: 5.96 states/eV per cell

a = 2.901 Å, b = 2.901 Å, c = 7.752 Å
α = 90.00°, β = 90.00°, γ = 90.00°
Atoms (fractional coordinates):
Pt 0.000 0.000 0.229
Pt 0.000 0.000 0.771
Rh 0.500 0.500 0.000
Cl 0.500 0.500 0.500